Na9Cu2O7: PBEsol geometry, SCAN.

Cell: 9.7773 9.7773 9.7773 Å, 90.00 90.00 90.00°
Space group P2_13 (No. 198)
Symmetry-distinct sites (fractional):
Na 0.0073 0.2919 0.8340 [12 per cell]
Na 0.0402 0.7842 0.1726 [12 per cell]
Na 0.0679 0.0679 0.0679 [4 per cell]
Na 0.1050 0.6050 0.8950 [4 per cell]
Na 0.2322 0.2322 0.2322 [4 per cell]
Cu 0.0663 0.9337 0.4337 [4 per cell]
Cu 0.0980 0.4020 0.5980 [4 per cell]
O 0.0722 0.0737 0.3108 [12 per cell]
O 0.0861 0.8403 0.9033 [12 per cell]
O 0.2180 0.2820 0.7180 [4 per cell]

Calculated values
As for the uncorrected formation energy: -120.98 kJ per mole of atoms.

***

Er3Pb: PBEsol geometry, SCAN.

Cell: 4.5655 4.5655 10.2850 Å, 90.00 90.00 90.00°
Space group I4/mmm (No. 139)
Symmetry-distinct sites (fractional):
Er 0.0000 0.0000 0.0000 [2 per cell]
Er 0.0000 0.5000 0.2500 [4 per cell]
Pb 0.0000 0.0000 0.5000 [2 per cell]

Calculated values
The formation energy comes out at -0.40 eV per atom.

***

ZrTeBr2: PBEsol geometry, SCAN.

Cell: 3.2437 5.1478 14.1235 Å, 90.00 90.00 90.00°
Space group Imm2 (No. 44)
Symmetry-distinct sites (fractional):
Zr 0.0000 0.0000 0.0000 [2 per cell]
Te 0.0000 0.5000 0.3292 [2 per cell]
Br 0.0000 0.0000 0.5034 [2 per cell]
Br 0.0000 0.5000 0.6510 [2 per cell]

Calculated values
As for the uncorrected formation energy: -85.97 kJ per mole of atoms.

***

Sr2CuBr: PBEsol geometry, SCAN.

Cell: 4.2545 4.2545 23.8656 Å, 90.00 90.00 120.00°
Space group R-3m (No. 166, hexagonal axes)
Symmetry-distinct sites (fractional):
Sr 0.0000 0.0000 0.2392 [6 per cell]
Cu 0.0000 0.0000 0.5000 [3 per cell]
Br 0.0000 0.0000 0.0000 [3 per cell]

Calculated values
As for the uncorrected formation energy: -81.39 kJ per mole of atoms.

***

CuTe2Au: PBEsol geometry, SCAN.

Cell: 7.6271 3.9146 6.3146 Å, 90.00 110.18 90.00°
Space group Cm (No. 8)
Symmetry-distinct sites (fractional):
Cu 0.0000 0.0000 0.0000 [2 per cell]
Te 0.2539 0.5000 0.1862 [2 per cell]
Te 0.4793 0.0000 0.5751 [2 per cell]
Au 0.2440 0.0000 0.8026 [2 per cell]

Calculated values
As for the uncorrected formation energy: -5.24 kJ per mole of atoms.

***

NaCu2BF: PBEsol geometry, SCAN.

Cell: 4.5701 4.5701 4.4596 Å, 90.00 90.00 90.00°
Space group P4/mmm (No. 123)
Symmetry-distinct sites (fractional):
Na 0.0000 0.0000 0.0000 [1 per cell]
Cu 0.0000 0.5000 0.0000 [2 per cell]
B 0.0000 0.0000 0.5000 [1 per cell]
F 0.5000 0.5000 0.5000 [1 per cell]

Calculated values
As for the uncorrected formation energy: 166.15 kJ per mole of atoms.

***

Rb3LaPd: PBEsol geometry, SCAN.

Cell: 6.6199 6.6199 6.6199 Å, 90.00 90.00 90.00°
Space group Pm-3m (No. 221)
Symmetry-distinct sites (fractional):
Rb 0.0000 0.0000 0.5000 [3 per cell]
La 0.0000 0.0000 0.0000 [1 per cell]
Pd 0.5000 0.5000 0.5000 [1 per cell]

Calculated values
The formation energy comes out at 1.23 eV per atom.

***

ScBeTl: PBEsol geometry, SCAN.

Cell: 6.2791 6.2791 6.2791 Å, 90.00 90.00 90.00°
Space group F-43m (No. 216)
Symmetry-distinct sites (fractional):
Sc 0.0000 0.0000 0.0000 [4 per cell]
Be 0.0000 0.0000 0.5000 [4 per cell]
Tl 0.2500 0.2500 0.7500 [4 per cell]

Calculated values
The formation energy comes out at 0.00 eV per atom.

***

CdCoSeBr2: PBEsol geometry, SCAN.

Cell: 5.2197 5.2197 5.2803 Å, 90.00 90.00 90.00°
Space group P4/mmm (No. 123)
Symmetry-distinct sites (fractional):
Cd 0.0000 0.0000 0.0000 [1 per cell]
Co 0.5000 0.5000 0.5000 [1 per cell]
Se 0.0000 0.0000 0.5000 [1 per cell]
Br 0.0000 0.5000 0.0000 [2 per cell]

Calculated values
As for the uncorrected formation energy: 39.69 kJ per mole of atoms.

***

MgReHg2: PBEsol geometry, SCAN.

Cell: 3.5329 4.4467 9.3507 Å, 90.00 90.00 90.00°
Space group Cmm2 (No. 35)
Symmetry-distinct sites (fractional):
Mg 0.0000 0.0000 0.0000 [2 per cell]
Re 0.0000 0.5000 0.2226 [2 per cell]
Hg 0.0000 0.0000 0.4684 [2 per cell]
Hg 0.0000 0.5000 0.7476 [2 per cell]

Calculated values
The formation energy comes out at 0.44 eV per atom.

***

MgMnNi2: PBEsol geometry, SCAN.

Cell: 4.0030 4.0030 3.0877 Å, 90.00 90.00 90.00°
Space group P4/mmm (No. 123)
Symmetry-distinct sites (fractional):
Mg 0.0000 0.0000 0.0000 [1 per cell]
Mn 0.5000 0.5000 0.0000 [1 per cell]
Ni 0.0000 0.5000 0.5000 [2 per cell]

Calculated values
The formation energy comes out at -0.26 eV per atom.

***

Sb2TeAu: PBEsol geometry, SCAN.

Cell: 4.1245 4.1245 21.0574 Å, 90.00 90.00 120.00°
Space group R-3m (No. 166, hexagonal axes)
Symmetry-distinct sites (fractional):
Sb 0.0000 0.0000 0.2366 [6 per cell]
Te 0.0000 0.0000 0.0000 [3 per cell]
Au 0.0000 0.0000 0.5000 [3 per cell]

Calculated values
As for the uncorrected formation energy: -11.70 kJ per mole of atoms.